<P>
10
Lattice="0.000 5.694 5.694 5.694 0.000 5.694 5.694 5.694 0.000" Properties=species:S:1:pos:R:3 comment="Cs2BaGeCl6 (PBE-GGA, optimized geometry)" sg="No. 225" pbc="T T T"
Cs 2.847 2.847 2.847
Cs 8.541 8.541 8.541
Ba 0.000 0.000 0.000
Ge 5.694 5.694 5.694
Cl 5.694 5.694 3.015
Cl 5.694 3.015 5.694
Cl 8.373 5.694 5.694
Cl 3.015 5.694 5.694
Cl 5.694 8.373 5.694
Cl 5.694 5.694 8.373


<Q>
20
Lattice="7.917 0.000 0.000 0.000 8.060 0.000 -7.817 0.000 11.300" Properties=species:S:1:pos:R:3 comment="Cs2BaGeCl6 (PBE-GGA, optimized geometry)" sg="No. 14" pbc="T T T"
Cs -0.072 0.369 2.812
Cs -3.981 3.661 8.462
Cs 4.080 4.399 2.838
Cs 0.172 7.691 8.488
Ba 3.958 0.000 0.000
Ba 0.050 4.030 5.650
Ge -3.909 0.000 5.650
Ge 0.000 4.030 0.000
Cl -6.279 1.833 10.880
Cl -2.370 2.197 5.230
Cl -5.665 5.619 10.903
Cl -1.756 6.471 5.253
Cl -3.346 0.123 8.292
Cl 0.563 3.907 2.642
Cl -0.464 4.153 8.659
Cl 3.445 7.937 3.009
Cl 1.856 1.589 6.047
Cl 5.764 2.441 0.397
Cl 2.469 5.863 6.071
Cl 6.378 6.227 0.420


Which one sits at the bottom of the stability order? <P> does.


<P>
10
Lattice="0.000 5.707 5.707 5.707 0.000 5.707 5.707 5.707 0.000" Properties=species:S:1:pos:R:3 comment="Cs2BaHgCl6 (PBE-GGA, optimized geometry)" sg="No. 225" pbc="T T T"
Cs 2.853 2.853 2.853
Cs 8.560 8.560 8.560
Ba 0.000 0.000 0.000
Hg 5.707 5.707 5.707
Cl 5.707 5.707 3.006
Cl 5.707 3.006 5.707
Cl 8.408 5.707 5.707
Cl 3.006 5.707 5.707
Cl 5.707 8.408 5.707
Cl 5.707 5.707 8.408


<Q>
20
Lattice="7.939 0.000 0.000 0.000 8.075 0.000 -7.837 0.000 11.300" Properties=species:S:1:pos:R:3 comment="Cs2BaHgCl6 (PBE-GGA, optimized geometry)" sg="No. 14" pbc="T T T"
Cs -0.076 0.371 2.812
Cs -3.995 3.667 8.462
Cs 4.097 4.408 2.838
Cs 0.178 7.704 8.488
Ba 3.970 0.000 0.000
Ba 0.051 4.038 5.650
Hg -3.919 0.000 5.650
Hg 0.000 4.038 0.000
Cl -6.288 1.811 10.868
Cl -2.369 2.226 5.217
Cl -5.662 5.631 10.896
Cl -1.743 6.482 5.246
Cl -3.337 0.123 8.298
Cl 0.581 3.914 2.648
Cl -0.480 4.161 8.652
Cl 3.439 7.952 3.002
Cl 1.845 1.593 6.055
Cl 5.764 2.444 0.405
Cl 2.471 5.849 6.083
Cl 6.390 6.264 0.433


Which one sits at the bottom of the stability order? <P> does.


<P>
10
Lattice="0.000 5.893 5.893 5.893 0.000 5.893 5.893 5.893 0.000" Properties=species:S:1:pos:R:3 comment="Cs2BaPbCl6 (PBE-GGA, optimized geometry)" sg="No. 225" pbc="T T T"
Cs 2.946 2.946 2.946
Cs 8.839 8.839 8.839
Ba 0.000 0.000 0.000
Pb 5.893 5.893 5.893
Cl 5.893 5.893 3.015
Cl 5.893 3.015 5.893
Cl 8.770 5.893 5.893
Cl 3.015 5.893 5.893
Cl 5.893 8.770 5.893
Cl 5.893 5.893 8.770


<Q>
20
Lattice="8.076 0.000 0.000 0.000 8.342 0.000 -8.003 0.000 11.553" Properties=species:S:1:pos:R:3 comment="Cs2BaPbCl6 (PBE-GGA, optimized geometry)" sg="No. 14" pbc="T T T"
Cs -0.116 0.467 2.884
Cs -4.117 3.704 8.661
Cs 4.190 4.638 2.893
Cs 0.188 7.875 8.669
Ba 4.038 0.000 0.000
Ba 0.036 4.171 5.777
Pb -4.002 0.000 5.777
Pb 0.000 4.171 0.000
Cl -6.414 1.778 10.989
Cl -2.412 2.393 5.212
Cl -5.675 5.847 11.008
Cl -1.674 6.666 5.231
Cl -3.251 0.244 8.583
Cl 0.751 3.926 2.806
Cl -0.678 4.415 8.747
Cl 3.323 8.097 2.970
Cl 1.746 1.676 6.322
Cl 5.748 2.495 0.546
Cl 2.484 5.948 6.341
Cl 6.486 6.564 0.565


Which one sits at the bottom of the stability order? <P> does.


<P>
5
Lattice="5.495 0.000 0.000 0.000 5.495 0.000 0.000 0.000 6.008" Properties=species:S:1:pos:R:3 comment="CsBaS2Cl (PBE-GGA, optimized geometry)" sg="No. 123" pbc="T T T"
Cs 0.000 0.000 0.000
Ba 2.748 2.748 3.004
S 0.000 2.748 0.000
S 2.748 0.000 0.000
Cl 0.000 0.000 3.004


<Q>
5
Lattice="6.095 0.000 0.000 0.000 6.095 0.000 0.000 0.000 6.085" Properties=species:S:1:pos:R:3 comment="CsBaS2Cl (PBE-GGA, optimized geometry)" sg="No. 123" pbc="T T T"
Cs 0.000 0.000 0.000
Ba 3.048 3.048 3.042
S 0.000 3.048 3.042
S 3.048 0.000 3.042
Cl 3.048 3.048 0.000


Which one sits at the bottom of the stability order? <P> does.


<P>
20
Lattice="8.093 0.000 0.000 0.000 8.328 0.000 -8.048 0.000 11.557" Properties=species:S:1:pos:R:3 comment="Cs2BaSrCl6 (PBE-GGA, optimized geometry)" sg="No. 14" pbc="T T T"
Cs -0.124 0.438 2.890
Cs -4.148 3.727 8.668
Cs 4.192 4.602 2.889
Cs 0.168 7.891 8.667
Ba 4.046 0.000 0.000
Ba 0.022 4.164 5.778
Sr -4.024 0.000 5.778
Sr 0.000 4.164 0.000
Cl -6.438 1.797 10.997
Cl -2.414 2.367 5.218
Cl -5.737 5.847 11.023
Cl -1.712 6.645 5.245
Cl -3.289 0.247 8.580
Cl 0.735 3.918 2.802
Cl -0.690 4.411 8.755
Cl 3.334 8.082 2.977
Cl 1.757 1.683 6.312
Cl 5.781 2.481 0.534
Cl 2.458 5.962 6.338
Cl 6.483 6.531 0.560


<Q>
10
Lattice="0.000 5.887 5.887 5.887 0.000 5.887 5.887 5.887 0.000" Properties=species:S:1:pos:R:3 comment="Cs2BaSrCl6 (PBE-GGA, optimized geometry)" sg="No. 225" pbc="T T T"
Cs 2.944 2.944 2.944
Cs 8.831 8.831 8.831
Ba 0.000 0.000 0.000
Sr 5.887 5.887 5.887
Cl 5.887 5.887 3.022
Cl 5.887 3.022 5.887
Cl 8.753 5.887 5.887
Cl 3.022 5.887 5.887
Cl 5.887 8.753 5.887
Cl 5.887 5.887 8.753


Which one sits at the bottom of the stability order? <Q> does.


<P>
18
Lattice="6.501 0.000 0.000 0.000 8.499 0.000 -6.284 0.000 9.524" Properties=species:S:1:pos:R:3 comment="Ba2CuCl6 (PBE-GGA, optimized geometry)" sg="No. 14" pbc="T T T"
Ba -0.298 1.008 2.529
Ba -3.440 3.241 7.291
Ba 3.657 5.258 2.233
Ba 0.515 7.491 6.995
Cu 3.250 0.000 0.000
Cu 0.108 4.250 4.762
Cl -5.024 1.172 9.141
Cl -1.882 3.078 4.379
Cl -4.149 5.771 8.993
Cl -1.007 6.977 4.231
Cl -2.517 0.150 7.295
Cl 0.625 4.100 2.533
Cl -0.408 4.399 6.991
Cl 2.734 8.349 2.229
Cl 1.224 1.522 5.293
Cl 4.366 2.728 0.531
Cl 2.099 5.421 5.145
Cl 5.241 7.327 0.383


<Q>
18
Lattice="6.840 0.000 0.000 0.000 6.840 0.000 0.000 0.000 12.967" Properties=species:S:1:pos:R:3 comment="Ba2CuCl6 (PBE-GGA, optimized geometry)" sg="No. 136" pbc="T T T"
Ba 0.000 0.000 2.160
Ba 0.000 0.000 10.807
Ba 3.420 3.420 4.323
Ba 3.420 3.420 8.643
Cu 0.000 0.000 6.483
Cu 3.420 3.420 0.000
Cl 1.180 1.180 4.790
Cl 1.180 1.180 8.177
Cl 1.455 1.455 0.000
Cl 1.965 4.875 6.483
Cl 2.240 4.600 1.693
Cl 2.240 4.600 11.273
Cl 4.600 2.240 1.693
Cl 4.600 2.240 11.273
Cl 4.875 1.965 6.483
Cl 5.384 5.384 0.000
Cl 5.660 5.660 4.790
Cl 5.660 5.660 8.177


Which one sits at the bottom of the stability order? <Q> does.


<P>
4
Lattice="0.000 3.962 3.962 3.962 0.000 3.962 3.962 3.962 0.000" Properties=species:S:1:pos:R:3 comment="Ba2CuCl (PBE-GGA, optimized geometry)" sg="No. 216" pbc="T T T"
Ba 0.000 0.000 0.000
Ba 1.981 1.981 1.981
Cu 3.962 3.962 3.962
Cl 5.943 5.943 5.943


<Q>
4
Lattice="4.113 0.000 0.000 0.000 4.047 0.000 -0.012 0.000 8.807" Properties=species:S:1:pos:R:3 comment="Ba2CuCl (PBE-GGA, optimized geometry)" sg="No. 10" pbc="T T T"
Ba 0.020 0.000 2.488
Ba 4.081 0.000 6.319
Cu 2.051 2.024 4.404
Cl 0.000 2.024 0.000


<R>
4
Lattice="4.970 0.000 0.000 0.000 2.086 6.729 0.000 -2.086 6.729" Properties=species:S:1:pos:R:3 comment="Ba2CuCl (PBE-GGA, optimized geometry)" sg="No. 38" pbc="T T T"
Ba 0.000 0.000 0.000
Ba 2.485 0.000 3.421
Cu 0.000 0.000 9.879
Cl 2.485 0.000 6.642


<S>
4
Lattice="2.269 1.310 8.349 -2.269 1.310 8.349 0.000 -2.620 8.349" Properties=species:S:1:pos:R:3 comment="Ba2CuCl (PBE-GGA, optimized geometry)" sg="No. 160" pbc="T T T"
Ba 0.000 0.000 0.000
Ba 0.000 0.000 4.619
Cu 0.000 0.000 14.854
Cl 0.000 0.000 10.592


Which one sits at the bottom of the stability order? <P> does.


<P>
20
Lattice="6.814 0.000 0.000 0.000 8.400 0.000 -6.737 0.000 9.674" Properties=species:S:1:pos:R:3 comment="BaCuCl3 (PBE-GGA, optimized geometry)" sg="No. 14" pbc="T T T"
Ba -0.336 1.005 2.407
Ba -3.705 3.196 7.244
Ba 3.782 5.205 2.429
Ba 0.413 7.396 7.266
Cu 0.485 5.244 0.731
Cu -2.884 7.356 5.568
Cu 2.961 1.044 4.106
Cu -0.408 3.156 8.943
Cl -5.699 1.518 9.150
Cl -2.331 2.682 4.313
Cl -4.406 5.658 9.108
Cl -1.038 6.942 4.271
Cl -2.518 0.281 7.304
Cl 0.850 3.919 2.467
Cl -0.773 4.481 7.207
Cl 2.595 8.119 2.370
Cl 1.115 1.458 5.402
Cl 4.483 2.742 0.566
Cl 2.408 5.718 5.360
Cl 5.776 6.882 0.523


<Q>
5
Lattice="4.947 0.000 0.000 0.000 4.947 0.000 0.000 0.000 4.947" Properties=species:S:1:pos:R:3 comment="BaCuCl3 (PBE-GGA, optimized geometry)" sg="No. 221" pbc="T T T"
Ba 0.000 0.000 0.000
Cu 2.474 2.474 2.474
Cl 0.000 2.474 2.474
Cl 2.474 0.000 2.474
Cl 2.474 2.474 0.000


Which one sits at the bottom of the stability order? <Q> does.


<P>
14
Lattice="-4.970 4.970 3.626 4.970 -4.970 3.626 4.970 4.970 -3.626" Properties=species:S:1:pos:R:3 comment="BaCu2Cl4 (PBE-GGA, optimized geometry)" sg="No. 122" pbc="T T T"
Ba 0.000 0.000 0.000
Ba 0.000 4.970 1.813
Cu 2.485 -0.716 2.719
Cu 4.254 2.485 0.906
Cu 2.485 5.686 -0.906
Cu 0.716 2.485 4.532
Cl 6.976 -0.529 0.792
Cl 5.499 2.964 -1.021
Cl 2.964 0.529 0.792
Cl 4.441 -2.006 2.834
Cl -0.529 2.006 2.605
Cl 2.964 4.441 1.021
Cl 5.499 2.006 2.834
Cl 2.006 0.529 4.646


<Q>
7
Lattice="-3.878 3.878 2.684 3.878 -3.878 2.684 3.878 3.878 -2.684" Properties=species:S:1:pos:R:3 comment="BaCu2Cl4 (PBE-GGA, optimized geometry)" sg="No. 87" pbc="T T T"
Ba 0.000 0.000 0.000
Cu 3.878 0.000 1.342
Cu 0.000 3.878 1.342
Cl 2.877 1.644 0.000
Cl 2.233 -1.001 2.684
Cl 1.644 4.878 0.000
Cl 1.001 2.233 2.684


Which one sits at the bottom of the stability order? <Q> does.